{
  "formula": "CuNiB",
  "functional": "PBE-GGA",
  "state": "relaxed",
  "lattice": [[0.000, 2.551, 2.551], [2.551, 0.000, 2.551], [2.551, 2.551, 0.000]],
  "species": ["Cu", "Ni", "B"],
  "frac_coords": [[0.750, 0.750, 0.750], [0.000, 0.000, 0.000], [0.250, 0.250, 0.250]],
  "sg": "F-43m (216)",
  "energy_ev_per_atom": -4.6764,
  "volume_a3_per_atom": 11.07
}